[1]
This record from Alexandria via LeMat-Bulk describes PmNdGeRu after structural relaxation. The functional is PBE-GGA.

a b c (Å): 4.3856 3.9444 5.9948
angles (deg): 90.00 111.46 90.00
Fractional coordinates of all 4 atoms:
Pm  0.1320  0.0000  0.2641
Ge  0.4344  0.0000  0.8688
Ru  0.5814  0.5000  0.1628
Nd  0.8521  0.5000  0.7043

Summary:
DOS(E_F) = 2.163 states/eV per cell
formation energy from the elements = -0.54 eV per atom

[2]
This record from Alexandria via LeMat-Bulk describes PmNdGeS after structural relaxation. The functional is PBE-GGA.

a b c (Å): 4.1780 4.1780 7.2694
angles (deg): 73.30 73.30 60.00
Fractional coordinates of all 4 atoms:
Ge  0.9435  0.9435  0.1696
Nd  0.6947  0.6947  0.9158
Pm  0.1934  0.1934  0.4198
S  0.4448  0.4448  0.6654

Summary:
DOS(E_F) = 1.496 states/eV per cell
energy relative to the elements, uncorrected = -1.45 eV per atom

Number 1: uncorrected energy -6.397 eV/atom. Number 2: uncorrected energy -6.017 eV/atom.